Version P
Entry from Alexandria via LeMat-Bulk: crystalline PmEr2Pb at its relaxed geometry (PBE).

Output
The size of the total moment is 0.1493 μB per atom.

Lattice parameters (Å, degrees): 7.7331 7.7331 7.7331 90.00 90.00 90.00
Closest atoms and distances in Å follow each position.
Space group Fm-3m (No. 225)
Unique sites:
Pm: 0.0000 0.0000 0.0000 x4  8 Er 3.35
Er: 0.2500 0.2500 0.2500 x8  4 Pb 3.35, 4 Pm 3.35
Pb: 0.0000 0.0000 0.5000 x4  8 Er 3.35


Version Q
Entry from Alexandria via LeMat-Bulk: crystalline PmEr2Pb at its relaxed geometry (PBE).

Output
The size of the total moment is 0.0000 μB per atom.

Lattice parameters (Å, degrees): 3.6016 3.6016 32.9331 90.00 90.00 120.00
Closest atoms and distances in Å follow each position.
Space group R3m (No. 160, hexagonal axes)
Unique sites:
Pm: 0.0000 0.0000 0.0000 x3  6 Er 3.56-3.57, 6 Pm 3.60
Er: 0.0000 0.0000 0.5791 x3  3 Pb 3.33, 3 Pm 3.56, 6 Er 3.60
Er: 0.0000 0.0000 0.7547 x3  3 Pb 3.32, 3 Pm 3.57, 6 Er 3.60
Pb: 0.0000 0.0000 0.1667 x3  6 Er 3.32-3.33, 6 Pb 3.60


Tell me which of them is the least stable. Sure, it is version P.


Version P
Entry from Alexandria via LeMat-Bulk: crystalline PmEr2Pb at its relaxed geometry (PBE).

Output
The size of the total moment is 0.0033 μB per atom.

Lattice parameters (Å, degrees): 4.8870 4.8870 4.8456 90.00 90.00 90.00
Closest atoms and distances in Å follow each position.
Space group P4/mmm (No. 123)
Unique sites:
Pm: 0.0000 0.0000 0.0000 x1  8 Er 3.44, 4 Pb 3.46
Er: 0.0000 0.5000 0.5000 x2  4 Pb 3.44, 4 Pm 3.44, 4 Er 3.46
Pb: 0.5000 0.5000 0.0000 x1  8 Er 3.44, 4 Pm 3.46


Version Q
Entry from Alexandria via LeMat-Bulk: crystalline PmEr2Pb at its relaxed geometry (PBE).

Output
The size of the total moment is 0.0000 μB per atom.

Lattice parameters (Å, degrees): 3.5366 3.5366 36.0322 90.00 90.00 120.00
Closest atoms and distances in Å follow each position.
Space group R-3m (No. 166, hexagonal axes)
Unique sites:
Pm: 0.0000 0.0000 0.0000 x3  6 Er 3.51, 6 Pm 3.54
Er: 0.0000 0.0000 0.4126 x6  1 Pb 3.15, 3 Pm 3.51
Pb: 0.0000 0.0000 0.5000 x3  2 Er 3.15


Version R
Entry from Alexandria via LeMat-Bulk: crystalline PmEr2Pb at its relaxed geometry (PBE).

Output
The size of the total moment is 0.0000 μB per atom.

Lattice parameters (Å, degrees): 5.3584 12.9114 7.1494 90.00 90.00 90.00
Closest atoms and distances in Å follow each position.
Space group Cmcm (No. 63)
Unique sites:
Pm: 0.0000 0.0606 0.2500 x4  1 Pb 3.19, 4 Er 3.42
Er: 0.0000 0.3727 0.0229 x8  3 Pb 3.10-3.22, 2 Er 3.25-3.30, 2 Pm 3.42
Pb: 0.0000 0.1862 0.7500 x4  6 Er 3.10-3.22, 1 Pm 3.19


Version S
Entry from Alexandria via LeMat-Bulk: crystalline PmEr2Pb at its relaxed geometry (PBE).

Output
The size of the total moment is 0.0001 μB per atom.

Lattice parameters (Å, degrees): 3.6339 3.6339 9.2485 90.00 90.00 90.00
Closest atoms and distances in Å follow each position.
Space group P4/mmm (No. 123)
Unique sites:
Pm: 0.0000 0.0000 0.0000 x1  8 Er 3.57, 4 Pm 3.63
Er: 0.5000 0.5000 0.2687 x2  4 Pb 3.34, 4 Pm 3.57, 4 Er 3.63
Pb: 0.0000 0.0000 0.5000 x1  8 Er 3.34, 4 Pb 3.63


Tell me which of them is the least stable. Sure, it is version Q.


Version P
Entry from Alexandria via LeMat-Bulk: crystalline PmErPb at its relaxed geometry (PBE).

Output
The size of the total moment is 0.2913 μB per atom.

Lattice parameters (Å, degrees): 4.1409 4.1409 10.2718 90.00 90.00 90.00
Closest atoms and distances in Å follow each position.
Space group I4mm (No. 107)
Unique sites:
Pm: 0.0000 0.0000 0.0000 x2  5 Er 3.26-3.48, 5 Pb 3.38-3.44
Er: 0.0000 0.0000 0.3172 x2  5 Pm 3.26-3.48, 5 Pb 3.32-3.57
Pb: 0.0000 0.0000 0.6647 x2  5 Er 3.32-3.57, 5 Pm 3.38-3.44


Version Q
Entry from Alexandria via LeMat-Bulk: crystalline PmErPb at its relaxed geometry (PBE).

Output
The size of the total moment is 0.0001 μB per atom.

Lattice parameters (Å, degrees): 4.6108 4.6108 8.7096 90.00 90.00 90.00
Closest atoms and distances in Å follow each position.
Space group P4/nmm (No. 129, origin choice 2)
Unique sites:
Pm: 0.2500 0.2500 0.1573 x2  5 Pb 3.31
Er: 0.2500 0.7500 0.5000 x2  4 Er 3.26, 4 Pb 3.34
Pb: 0.2500 0.2500 0.7774 x2  5 Pm 3.31, 4 Er 3.34


Tell me which of them is the least stable. Sure, it is version P.


Version P
Entry from Alexandria via LeMat-Bulk: crystalline PmErPb at its relaxed geometry (PBE).

Output
The size of the total moment is 0.0054 μB per atom.

Lattice parameters (Å, degrees): 7.3989 7.3989 7.3989 90.00 90.00 90.00
Closest atoms and distances in Å follow each position.
Space group F-43m (No. 216)
Unique sites:
Pm: 0.0000 0.0000 0.0000 x4  4 Pb 3.20
Er: 0.0000 0.0000 0.5000 x4  4 Pb 3.20
Pb: 0.2500 0.2500 0.2500 x4  4 Er 3.20, 4 Pm 3.20


Version Q
Entry from Alexandria via LeMat-Bulk: crystalline PmErPb at its relaxed geometry (PBE).

Output
The size of the total moment is 0.0000 μB per atom.

Lattice parameters (Å, degrees): 5.2286 5.2286 3.9563 90.00 90.00 120.00
Closest atoms and distances in Å follow each position.
Space group P3m1 (No. 156)
Unique sites:
Pm: 0.0000 0.0000 0.0000 x1  3 Pb 3.41, 6 Er 3.54-3.68
Er: 0.3333 0.6667 0.4693 x1  3 Pb 3.06
Pb: 0.6667 0.3333 0.6005 x1  3 Er 3.06, 3 Pm 3.41


Version R
Entry from Alexandria via LeMat-Bulk: crystalline PmErPb at its relaxed geometry (PBE).

Output
The size of the total moment is 0.3172 μB per atom.

Lattice parameters (Å, degrees): 7.3204 4.4106 11.1200 90.00 90.00 90.00
Closest atoms and distances in Å follow each position.
Space group Pnma (No. 62)
Unique sites:
Pm: 0.1280 0.2500 0.0920 x4  5 Pb 3.35-3.75, 5 Er 3.50-3.72, 2 Pm 3.54
Er: 0.1203 0.2500 0.4066 x4  4 Pb 3.34-3.37, 5 Pm 3.50-3.72, 2 Er 3.50
Pb: 0.1265 0.2500 0.7545 x4  4 Er 3.34-3.37, 4 Pm 3.35-3.37, 2 Pb 3.66


Tell me which of them is the least stable. Sure, it is version P.


Version P
Entry from Alexandria via LeMat-Bulk: crystalline Pm2ErPb3 at its relaxed geometry (PBE).

Output
The size of the total moment is 0.0003 μB per atom.

Lattice parameters (Å, degrees): 5.0018 15.2754 9.0950 90.00 90.00 90.00
Closest atoms and distances in Å follow each position.
Space group Cmmm (No. 65)
Unique sites:
Pm: 0.0000 0.0000 0.0000 x2  8 Pb 3.40-3.46, 4 Pm 3.57
Pm: 0.0000 0.0000 0.5000 x2  8 Pb 3.36-3.40, 4 Er 3.59
Pm: 0.0000 0.3330 0.0000 x4  8 Pb 3.41-3.44, 4 Pm 3.56-3.57
Er: 0.0000 0.3317 0.5000 x4  8 Pb 3.35-3.41, 2 Er 3.53, 2 Pm 3.59
Pb: 0.0000 0.1679 0.2549 x8  3 Er 3.35, 5 Pm 3.40-3.46, 4 Pb 3.54-3.58
Pb: 0.0000 0.5000 0.2541 x4  6 Pm 3.36-3.44, 2 Er 3.41, 4 Pb 3.58


Version Q
Entry from Alexandria via LeMat-Bulk: crystalline Pm2ErPb3 at its relaxed geometry (PBE).

Output
The size of the total moment is 0.0000 μB per atom.

Lattice parameters (Å, degrees): 16.3515 6.3955 7.4251 90.00 103.05 90.00
Closest atoms and distances in Å follow each position.
Space group C2/c (No. 15)
Unique sites:
Pm: 0.1679 0.0025 0.0841 x8  6 Pb 3.20-3.28
Er: 0.0000 0.4889 0.7500 x4  6 Pb 3.19-3.20
Pb: 0.0000 0.0118 0.2500 x4  2 Er 3.19-3.20, 4 Pm 3.25-3.26
Pb: 0.1628 0.4974 0.5813 x8  2 Er 3.19, 4 Pm 3.20-3.28


Tell me which of them is the least stable. Sure, it is version Q.


Version P
Entry from Alexandria via LeMat-Bulk: crystalline PmErRuPb at its relaxed geometry (PBE).

Output
The size of the total moment is 0.0000 μB per atom.

Lattice parameters (Å, degrees): 3.4633 3.4633 8.2448 90.00 90.00 90.00
Closest atoms and distances in Å follow each position.
Space group P4mm (No. 99)
Unique sites:
Pm: 0.0000 0.0000 0.0000 x1  4 Ru 3.02, 1 Er 3.34
Er: 0.0000 0.0000 0.5943 x1  4 Ru 2.91
Ru: 0.5000 0.5000 0.7850 x1  4 Er 2.91, 4 Pm 3.02
Pb: 0.5000 0.5000 0.3072 x1  4 Er 3.41, 4 Pb 3.46, 4 Pm 3.52


Version Q
Entry from Alexandria via LeMat-Bulk: crystalline PmErRuPb at its relaxed geometry (PBE).

Output
The size of the total moment is 0.0004 μB per atom.

Lattice parameters (Å, degrees): 7.3045 7.3045 7.3045 90.00 90.00 90.00
Closest atoms and distances in Å follow each position.
Space group F-43m (No. 216)
Unique sites:
Pm: 0.0000 0.0000 0.0000 x4  4 Pb 3.16, 4 Ru 3.16
Er: 0.0000 0.0000 0.5000 x4  4 Pb 3.16, 4 Ru 3.16
Ru: 0.2500 0.2500 0.2500 x4  4 Er 3.16, 4 Pm 3.16
Pb: 0.2500 0.2500 0.7500 x4  4 Er 3.16, 4 Pm 3.16


Tell me which of them is the least stable. Sure, it is version Q.


Version P
Entry from Alexandria via LeMat-Bulk: crystalline Pr2ErPb at its relaxed geometry (PBE).

Output
The size of the total moment is 0.0001 μB per atom.

Lattice parameters (Å, degrees): 3.4849 27.3082 5.7821 90.00 90.00 90.00
Closest atoms and distances in Å follow each position.
Space group Cmcm (No. 63)
Unique sites:
Pr: 0.0000 0.0925 0.2500 x4  3 Er 3.31-3.38, 2 Pb 3.34, 2 Pr 3.48
Pr: 0.0000 0.1842 0.7500 x4  5 Pb 3.25-3.39, 2 Pr 3.48
Er: 0.0000 0.0287 0.7500 x4  4 Er 3.29-3.48, 3 Pr 3.31-3.38
Pb: 0.0000 0.3030 0.7500 x4  7 Pr 3.25-3.39, 2 Pb 3.48


Version Q
Entry from Alexandria via LeMat-Bulk: crystalline Pr2ErPb at its relaxed geometry (PBE).

Output
The size of the total moment is 0.0000 μB per atom.

Lattice parameters (Å, degrees): 4.9422 4.9422 5.0270 90.00 90.00 90.00
Closest atoms and distances in Å follow each position.
Space group P4/mmm (No. 123)
Unique sites:
Pr: 0.0000 0.5000 0.0000 x2  4 Pr 3.49, 4 Pb 3.52, 4 Er 3.52
Er: 0.0000 0.0000 0.5000 x1  4 Pb 3.49, 8 Pr 3.52
Pb: 0.5000 0.5000 0.5000 x1  4 Er 3.49, 8 Pr 3.52


Version R
Entry from Alexandria via LeMat-Bulk: crystalline Pr2ErPb at its relaxed geometry (PBE).

Output
The size of the total moment is 0.0645 μB per atom.

Lattice parameters (Å, degrees): 3.6743 3.6743 33.9847 90.00 90.00 120.00
Closest atoms and distances in Å follow each position.
Space group R3m (No. 160, hexagonal axes)
Unique sites:
Pr: 0.0000 0.0000 0.0000 x3  3 Pb 3.50, 3 Er 3.58, 6 Pr 3.67
Pr: 0.0000 0.0000 0.1699 x3  3 Pb 3.49, 3 Er 3.58, 6 Pr 3.67
Er: 0.0000 0.0000 0.4184 x3  6 Pr 3.58, 6 Er 3.67
Pb: 0.0000 0.0000 0.5846 x3  6 Pr 3.49-3.50, 6 Pb 3.67


Version S
Entry from Alexandria via LeMat-Bulk: crystalline Pr2ErPb at its relaxed geometry (PBE).

Output
The size of the total moment is 0.0005 μB per atom.

Lattice parameters (Å, degrees): 3.5281 3.5281 36.8940 90.00 90.00 120.00
Closest atoms and distances in Å follow each position.
Space group R-3m (No. 166, hexagonal axes)
Unique sites:
Pr: 0.0000 0.0000 0.0908 x6  1 Er 3.35, 3 Pb 3.46, 6 Pr 3.53
Er: 0.0000 0.0000 0.0000 x3  2 Pr 3.35, 6 Er 3.53
Pb: 0.0000 0.0000 0.5000 x3  6 Pr 3.46, 6 Pb 3.53


Tell me which of them is the least stable. Sure, it is version S.


Version P
Entry from Alexandria via LeMat-Bulk: crystalline Pr2ErPb3 at its relaxed geometry (PBE).

Output
The size of the total moment is 0.0000 μB per atom.

Lattice parameters (Å, degrees): 8.7245 16.0482 6.2973 90.00 121.33 90.00
Closest atoms and distances in Å follow each position.
Space group C2/c (No. 15)
Unique sites:
Pr: 0.0000 0.0795 0.2500 x4  6 Pb 3.30-3.36
Pr: 0.0000 0.2415 0.7500 x4  6 Pb 3.29-3.36
Er: 0.0000 0.4104 0.2500 x4  6 Pb 3.21-3.23
Pb: 0.2263 0.4206 0.9772 x8  2 Er 3.22-3.23, 4 Pr 3.30-3.36, 1 Pb 3.47
Pb: 0.2500 0.2500 0.5000 x4  2 Er 3.21, 4 Pr 3.29-3.34


Version Q
Entry from Alexandria via LeMat-Bulk: crystalline Pr2ErPb3 at its relaxed geometry (PBE).

Output
The size of the total moment is 0.0004 μB per atom.

Lattice parameters (Å, degrees): 5.0453 15.3707 9.1865 90.00 90.00 90.00
Closest atoms and distances in Å follow each position.
Space group Cmmm (No. 65)
Unique sites:
Pr: 0.0000 0.0000 0.0000 x2  8 Pb 3.45-3.51, 4 Pr 3.60
Pr: 0.0000 0.0000 0.5000 x2  8 Pb 3.37-3.42, 4 Er 3.62
Pr: 0.0000 0.3332 0.0000 x4  8 Pb 3.46-3.48, 4 Pr 3.59-3.60
Er: 0.0000 0.3311 0.5000 x4  8 Pb 3.35-3.43, 2 Er 3.55, 2 Pr 3.62
Pb: 0.0000 0.1688 0.2572 x8  3 Er 3.35-3.37, 5 Pr 3.42-3.51, 4 Pb 3.55-3.62
Pb: 0.0000 0.5000 0.2560 x4  6 Pr 3.37-3.48, 2 Er 3.43, 4 Pb 3.62


Tell me which of them is the least stable. Sure, it is version P.